The following is a DFT calculation (PBE-GGA) of an optimized crystal structure of LaDyMgAl.

a = 5.338 Å, b = 5.338 Å, c = 5.338 Å
α = 60.00°, β = 60.00°, γ = 60.00°
Positions (direct):
La (0.000, 0.000, 0.000)
Dy (0.500, 0.500, 0.500)
Mg (0.750, 0.750, 0.750)
Al (0.250, 0.250, 0.250)

Values from the calculation:
As for the crystal system: cubic. The calculation puts the formation energy at -0.257 eV per atom. The value obtained for the total magnetization is 0.0 μB/cell. Its volume is 26.89 A^3/atom.